[1]
An optimized crystal structure of LaIn2CoI. Source: the Alexandria database, functional GGA-PBE.

Unit cell a=5.069 b=5.069 c=5.220 alpha=90.00 beta=90.00 gamma=90.00
Fractional coordinates of all 5 atoms:
La 0.000 0.000 0.000
In 0.000 0.500 0.500
In 0.500 0.000 0.500
Co 0.000 0.000 0.500
I 0.500 0.500 0.000

Values from the calculation:
The density is 6.86 g/cm³. As for the uncorrected formation energy: -504.4 meV/atom. As for the space group: P4/mmm (123). The value obtained for the volume is 26.8 Å³ per atom.



[2]
An optimized crystal structure of Ca2TaZn. Source: the Alexandria database, functional GGA-PBE.

Unit cell a=5.123 b=5.123 c=5.123 alpha=60.00 beta=60.00 gamma=60.00
Fractional coordinates of all 4 atoms:
Ca 0.000 0.000 0.000
Ca 0.250 0.250 0.250
Ta 0.500 0.500 0.500
Zn 0.750 0.750 0.750

Values from the calculation:
As for the formation enthalpy at 0 K: 0.6874 eV per atom. The density is 5.70 g/cm³. As for the space group: F-43m (216). The value obtained for the volume is 23.8 Å³ per atom.



[3]
An optimized crystal structure of Ac2PmMnS6. Source: the Alexandria database, functional GGA-PBE.

Unit cell a=6.785 b=7.505 c=11.783 alpha=90.00 beta=124.21 gamma=90.00
Fractional coordinates of all 20 atoms:
Ac 0.215 0.094 0.248
Ac 0.215 0.406 0.748
Ac 0.785 0.594 0.252
Ac 0.785 0.906 0.752
Pm 0.500 0.000 0.000
Pm 0.500 0.500 0.500
Mn 0.000 0.000 0.500
Mn 0.000 0.500 0.000
S 0.114 0.195 0.941
S 0.114 0.305 0.441
S 0.247 0.675 0.950
S 0.247 0.825 0.450
S 0.339 0.027 0.728
S 0.339 0.473 0.228
S 0.661 0.527 0.772
S 0.661 0.973 0.272
S 0.753 0.175 0.550
S 0.753 0.325 0.050
S 0.886 0.695 0.559
S 0.886 0.805 0.059

Values from the calculation:
The density is 5.66 g/cm³. As for the uncorrected formation energy: -1710.6 meV/atom. As for the space group: P2_1/c (14). The value obtained for the volume is 24.8 Å³ per atom.



[4]
An optimized crystal structure of Pr4GaRh3. Source: the Alexandria database, functional GGA-PBE.

Unit cell a=3.978 b=4.442 c=11.042 alpha=90.00 beta=90.00 gamma=90.00
Fractional coordinates of all 8 atoms:
Pr 0.000 0.000 0.000
Pr 0.000 0.500 0.267
Pr 0.500 0.000 0.480
Pr 0.500 0.500 0.775
Ga 0.000 0.000 0.696
Rh 0.000 0.500 0.565
Rh 0.500 0.000 0.218
Rh 0.500 0.500 0.043

Values from the calculation:
As for the formation enthalpy at 0 K: -0.6456 eV per atom. The density is 8.02 g/cm³. As for the space group: Pmm2 (25). The value obtained for the volume is 24.4 Å³ per atom.



[5]
An optimized crystal structure of YCdCu2. Source: the Alexandria database, functional GGA-PBE.

Unit cell a=4.520 b=4.520 c=3.801 alpha=90.16 beta=90.16 gamma=89.91
Fractional coordinates of all 4 atoms:
Y 0.000 0.000 0.000
Cd 0.500 0.500 0.000
Cu 0.000 0.500 0.500
Cu 0.500 0.000 0.500

Values from the calculation:
As for the formation enthalpy at 0 K: -0.0373 eV per atom. The density is 7.02 g/cm³. As for the space group: C2/m (12). The value obtained for the volume is 19.4 Å³ per atom.



[6]
An optimized crystal structure of SiPt2W. Source: the Alexandria database, functional GGA-PBE.

Unit cell a=2.876 b=3.970 c=5.328 alpha=90.00 beta=90.00 gamma=90.00
Fractional coordinates of all 4 atoms:
Si 0.000 0.000 0.000
Pt 0.500 0.500 0.252
Pt 0.500 0.500 0.748
W 0.000 0.000 0.500

Values from the calculation:
The density is 16.44 g/cm³. As for the uncorrected formation energy: -173.5 meV/atom. As for the space group: Pmmm (47). The value obtained for the volume is 15.2 Å³ per atom.



Question: Among the records above, which one has the lowest volume?
Answer: SiPt2W